No. 1
{"formula": "CoRhS3", "functional": "PBE", "state": "optimized geometry", "e_form_raw_ev_per_atom": -0.32, "spacegroup": "No. 12", "de_polymorph_mev_per_atom": 0, "cell": [[7.455, -1.640, 0.000], [7.455, 1.640, 0.000], [-1.185, 0.000, 6.654]], "species": ["Co", "Co", "Rh", "Rh", "S", "S", "S", "S", "S", "S"], "fractional_positions": [[0.088, 0.088, 0.304], [0.912, 0.912, 0.696], [0.342, 0.342, 0.164], [0.658, 0.658, 0.836], [0.178, 0.178, 0.085], [0.340, 0.340, 0.511], [0.500, 0.500, 0.182], [0.500, 0.500, 0.818], [0.660, 0.660, 0.489], [0.822, 0.822, 0.915]]}

---

No. 2
{"formula": "K2As2P", "functional": "PBE", "state": "optimized geometry", "formation_energy_mev_per_atom": -237, "spacegroup": "No. 63", "de_polymorph_mev_per_atom": 0, "cell": [[3.174, -8.697, 0.000], [3.174, 8.697, 0.000], [0.000, 0.000, 5.238]], "species": ["K", "K", "K", "K", "As", "As", "As", "As", "P", "P"], "fractional_positions": [[0.066, 0.934, 0.750], [0.282, 0.718, 0.250], [0.718, 0.282, 0.750], [0.934, 0.066, 0.250], [0.191, 0.422, 0.750], [0.422, 0.191, 0.250], [0.578, 0.809, 0.750], [0.809, 0.578, 0.250], [0.500, 0.500, 0.000], [0.500, 0.500, 0.500]]}

---

No. 3
{"formula": "YTlZn4", "functional": "PBE", "state": "optimized geometry", "formation_energy_mev_per_atom": -115, "spacegroup": "No. 216", "cell": [[0.000, 3.894, 3.894], [3.894, 0.000, 3.894], [3.894, 3.894, 0.000]], "species": ["Y", "Tl", "Zn", "Zn", "Zn", "Zn"], "fractional_positions": [[0.000, 0.000, 0.000], [0.250, 0.250, 0.250], [0.122, 0.626, 0.626], [0.626, 0.122, 0.626], [0.626, 0.626, 0.122], [0.626, 0.626, 0.626]]}

---

No. 4
{"formula": "SrCuTe2S4", "functional": "PBE", "state": "optimized geometry", "e_form_raw_ev_per_atom": -0.50, "spacegroup": "No. 121", "cell": [[-3.598, 3.598, 3.633], [3.598, -3.598, 3.633], [3.598, 3.598, -3.633]], "species": ["Sr", "Cu", "Te", "Te", "S", "S", "S", "S"], "fractional_positions": [[0.000, 0.000, 0.000], [0.500, 0.500, 0.000], [0.250, 0.750, 0.500], [0.750, 0.250, 0.500], [0.134, 0.517, 0.000], [0.483, 0.483, 0.617], [0.517, 0.134, 0.000], [0.866, 0.866, 0.383]]}